# 1
VASP calculation (GGA-PBEsol) on a relaxed Re3Tc crystal.

## Properties
For the offset from the most stable computed form, the calculation gives 0.068 eV/atom. The calculation puts the volume at 58.0 Å³/f.u. As for the mass density: 18.80 g/cm3. Its space group is No. 47. For the formation energy, the calculation gives 0.063 eV/atom. The energy is -12.752 eV/atom.

a b c (Å): 2.7330 3.8744 5.4780
angles (deg): 90.00 90.00 90.00
Fractional coordinates of all 4 atoms:
Re: 0.0000 0.0000 0.0000
Re: 0.5000 0.5000 0.2520
Re: 0.5000 0.5000 0.7480
Tc: 0.0000 0.0000 0.5000

---

# 2
VASP calculation (GGA-PBEsol) on a relaxed ReTc3 crystal.

## Properties
For the offset from the most stable computed form, the calculation gives 0.037 eV/atom. The calculation puts the volume at 56.6 Å³/f.u. As for the mass density: 14.09 g/cm3. Its space group is No. 59. For the formation energy, the calculation gives 0.030 eV/atom. The energy is -11.753 eV/atom.

a b c (Å): 5.4574 13.1888 4.7183
angles (deg): 90.00 90.00 90.00
Fractional coordinates of all 24 atoms:
Re: 0.2500 0.0840 0.1656
Re: 0.2500 0.4160 0.1656
Re: 0.2500 0.7500 0.4996
Re: 0.7500 0.2500 0.5004
Re: 0.7500 0.5840 0.8344
Re: 0.7500 0.9160 0.8344
Tc: 0.9996 0.0831 0.6665
Tc: 0.9996 0.4169 0.6665
Tc: 0.0004 0.5831 0.3335
Tc: 0.0004 0.9169 0.3335
Tc: 0.0008 0.7500 0.9993
Tc: 0.2500 0.2500 0.5002
Tc: 0.2500 0.5828 0.8343
Tc: 0.2500 0.9172 0.8343
Tc: 0.4992 0.7500 0.9993
Tc: 0.5004 0.0831 0.6665
Tc: 0.5004 0.4169 0.6665
Tc: 0.4996 0.5831 0.3335
Tc: 0.4996 0.9169 0.3335
Tc: 0.5008 0.2500 0.0007
Tc: 0.7500 0.0828 0.1657
Tc: 0.7500 0.4172 0.1657
Tc: 0.7500 0.7500 0.4998
Tc: 0.9992 0.2500 0.0007

---

# 3
VASP calculation (GGA-PBEsol) on a relaxed Re4Tc crystal.

## Properties
The calculation puts the volume at 72.6 Å³/f.u. As for the mass density: 19.28 g/cm3. Its space group is No. 87. For the formation energy, the calculation gives 0.061 eV/atom. The energy is -12.858 eV/atom.

a b c (Å): 4.7445 4.7445 4.7445
angles (deg): 99.57 99.57 131.89
Fractional coordinates of all 5 atoms:
Re: 0.1002 0.2991 0.3993
Re: 0.2991 0.8998 0.1989
Re: 0.7009 0.1002 0.8011
Re: 0.8998 0.7009 0.6007
Tc: 0.5000 0.5000 0.0000

---

# 4
VASP calculation (GGA-PBEsol) on a relaxed ReTc3 crystal.

## Properties
For the offset from the most stable computed form, the calculation gives 0.000 eV/atom. The calculation puts the volume at 56.5 Å³/f.u. As for the mass density: 14.12 g/cm3. Its space group is No. 62. For the formation energy, the calculation gives -0.007 eV/atom. The energy is -11.790 eV/atom.

a b c (Å): 4.7249 8.7664 5.4529
angles (deg): 90.00 90.00 90.00
Fractional coordinates of all 16 atoms:
Re: 0.0828 0.2500 0.1252
Re: 0.4172 0.7500 0.6252
Re: 0.5828 0.2500 0.3748
Re: 0.9172 0.7500 0.8748
Tc: 0.0836 0.2500 0.6247
Tc: 0.2486 0.5028 0.3752
Tc: 0.2486 0.9972 0.3752
Tc: 0.2514 0.0028 0.8752
Tc: 0.2514 0.4972 0.8752
Tc: 0.4164 0.7500 0.1247
Tc: 0.5836 0.2500 0.8753
Tc: 0.7486 0.5028 0.1248
Tc: 0.7486 0.9972 0.1248
Tc: 0.7514 0.0028 0.6248
Tc: 0.7514 0.4972 0.6248
Tc: 0.9164 0.7500 0.3753

---

# 5
VASP calculation (GGA-PBEsol) on a relaxed ReTc3 crystal.

## Properties
For the offset from the most stable computed form, the calculation gives 0.078 eV/atom. The calculation puts the volume at 56.7 Å³/f.u. As for the mass density: 14.06 g/cm3. Its space group is No. 166. For the formation energy, the calculation gives 0.070 eV/atom. The energy is -11.712 eV/atom.

a b c (Å): 8.9933 8.9933 8.9933
angles (deg): 17.39 17.39 17.39
Fractional coordinates of all 4 atoms:
Re: 0.0000 0.0000 0.0000
Tc: 0.2494 0.2494 0.2494
Tc: 0.5000 0.5000 0.5000
Tc: 0.7506 0.7506 0.7506

---

# 6
VASP calculation (GGA-PBEsol) on a relaxed Re2Tc crystal.

## Properties
For the offset from the most stable computed form, the calculation gives 0.069 eV/atom. The calculation puts the volume at 43.3 Å³/f.u. As for the mass density: 18.03 g/cm3. Its space group is No. 139. For the formation energy, the calculation gives 0.066 eV/atom. The energy is -12.578 eV/atom.

a b c (Å): 6.1163 6.1163 6.1163
angles (deg): 154.19 154.19 36.83
Fractional coordinates of all 3 atoms:
Re: 0.1655 0.1655 0.0000
Re: 0.8345 0.8345 0.0000
Tc: 0.5000 0.5000 0.0000

---

# 7
VASP calculation (GGA-PBEsol) on a relaxed Re3Tc crystal.

## Properties
For the offset from the most stable computed form, the calculation gives 0.065 eV/atom. The calculation puts the volume at 58.0 Å³/f.u. As for the mass density: 18.80 g/cm3. Its space group is No. 221. For the formation energy, the calculation gives 0.061 eV/atom. The energy is -12.754 eV/atom.

a b c (Å): 3.8710 3.8710 3.8710
angles (deg): 90.00 90.00 90.00
Fractional coordinates of all 4 atoms:
Re: 0.0000 0.0000 0.5000
Re: 0.0000 0.5000 0.0000
Re: 0.5000 0.0000 0.0000
Tc: 0.5000 0.5000 0.5000

---

# 8
VASP calculation (GGA-PBEsol) on a relaxed ReTc3 crystal.

## Properties
For the offset from the most stable computed form, the calculation gives 0.075 eV/atom. The calculation puts the volume at 56.7 Å³/f.u. As for the mass density: 14.06 g/cm3. Its space group is No. 47. For the formation energy, the calculation gives 0.068 eV/atom. The energy is -11.714 eV/atom.

a b c (Å): 2.7118 3.8415 5.4448
angles (deg): 90.00 90.00 90.00
Fractional coordinates of all 4 atoms:
Re: 0.0000 0.0000 0.0000
Tc: 0.0000 0.0000 0.5000
Tc: 0.5000 0.5000 0.2519
Tc: 0.5000 0.5000 0.7481

---

> Look up the volume of the second one.

56.6 Å³/f.u.